TcSe3: relaxed, PBE-GGA.

a b c (Å): 5.856 10.789 5.624
angles (deg): 90.00 90.00 90.00
Space group Pnma (No. 62)
One atom of each set of equivalent atoms:
Tc (0.055, 0.250, 0.060) [4 per cell]
Se (0.064, 0.750, 0.349) [4 per cell]
Se (0.237, 0.102, 0.357) [8 per cell]

## Properties
uncorrected formation energy	-0.015	eV/atom
M_tot	0.00	μB/atom
E	-5.220	eV/atom
ΔE to the lowest computed polymorph	0.0	meV/atom

TcSe3: relaxed, PBE-GGA.

a b c (Å): 7.6132 7.6132 6.3110
angles (deg): 90.00 90.00 120.00
Space group P6_3/mmc (No. 194)
One atom of each set of equivalent atoms:
Tc (0.0000, 0.0000, 0.0000) [2 per cell]
Tc (0.3333, 0.6667, 0.2500) [2 per cell]
Se (0.0000, 0.5000, 0.0000) [6 per cell]
Se (0.1493, 0.2986, 0.7500) [6 per cell]

## Properties
uncorrected formation energy	0.356	eV/atom
M_tot	0.00	μB/atom
E	-4.849	eV/atom
ΔE to the lowest computed polymorph	371.3	meV/atom

TcTeSe3: relaxed, PBE-GGA.

a b c (Å): 4.892 4.892 4.892
angles (deg): 90.00 90.00 90.00
Space group Pm-3m (No. 221)
One atom of each set of equivalent atoms:
Tc (0.000, 0.000, 0.000) [1 per cell]
Te (0.500, 0.500, 0.500) [1 per cell]
Se (0.000, 0.000, 0.500) [3 per cell]

## Properties
uncorrected formation energy	0.317	eV/atom
M_tot	0.00	μB/atom
E	-4.475	eV/atom
ΔE to the lowest computed polymorph	0.0	meV/atom

Tc4TeSe8: relaxed, PBE-GGA.

a b c (Å): 6.4229 6.4229 25.8393
angles (deg): 90.00 90.00 120.00
Space group R-3m (No. 166, hexagonal axes)
One atom of each set of equivalent atoms:
Tc (0.0000, 0.0000, 0.0000) [3 per cell]
Tc (0.0000, 0.5000, 0.0000) [9 per cell]
Te (0.0000, 0.0000, 0.5000) [3 per cell]
Se (0.0000, 0.0000, 0.2647) [6 per cell]
Se (0.9995, 0.4998, 0.2657) [18 per cell]

## Properties
uncorrected formation energy	-0.125	eV/atom
M_tot	0.00	μB/atom
E	-5.700	eV/atom

TcTe3Se: relaxed, PBE-GGA.

a b c (Å): 5.418 5.418 5.418
angles (deg): 90.00 90.00 90.00
Space group Pm-3m (No. 221)
One atom of each set of equivalent atoms:
Tc (0.000, 0.000, 0.000) [1 per cell]
Te (0.000, 0.500, 0.500) [3 per cell]
Se (0.500, 0.500, 0.500) [1 per cell]

## Properties
uncorrected formation energy	1.163	eV/atom
M_tot	0.90	μB/atom
E	-3.493	eV/atom
ΔE to the lowest computed polymorph	620.0	meV/atom

TcTe3Se: relaxed, PBE-GGA.

a b c (Å): 5.188 5.188 5.188
angles (deg): 90.00 90.00 90.00
Space group Pm-3m (No. 221)
One atom of each set of equivalent atoms:
Tc (0.000, 0.000, 0.000) [1 per cell]
Te (0.000, 0.000, 0.500) [3 per cell]
Se (0.500, 0.500, 0.500) [1 per cell]

## Properties
uncorrected formation energy	0.543	eV/atom
M_tot	0.00	μB/atom
E	-4.113	eV/atom
ΔE to the lowest computed polymorph	0.0	meV/atom

Tc3TeSe: relaxed, PBE-GGA.

a b c (Å): 4.612 4.612 4.612
angles (deg): 90.00 90.00 90.00
Space group Pm-3m (No. 221)
One atom of each set of equivalent atoms:
Tc (0.000, 0.000, 0.500) [3 per cell]
Te (0.500, 0.500, 0.500) [1 per cell]
Se (0.000, 0.000, 0.000) [1 per cell]

## Properties
uncorrected formation energy	1.075	eV/atom
M_tot	0.22	μB/atom
E	-6.469	eV/atom
ΔE to the lowest computed polymorph	0.0	meV/atom

Tc4TeSe2: relaxed, PBE-GGA.

a b c (Å): 4.894 4.894 12.878
angles (deg): 90.00 90.00 90.00
Space group I4/mmm (No. 139)
One atom of each set of equivalent atoms:
Tc (0.000, 0.000, 0.202) [4 per cell]
Tc (0.000, 0.500, 0.000) [4 per cell]
Te (0.000, 0.000, 0.000) [2 per cell]
Se (0.000, 0.000, 0.385) [4 per cell]

## Properties
uncorrected formation energy	1.410	eV/atom
M_tot	0.18	μB/atom
E	-5.958	eV/atom

Tc3TeSe: relaxed, PBE-GGA.

a b c (Å): 4.874 4.874 4.874
angles (deg): 90.00 90.00 90.00
Space group Pm-3m (No. 221)
One atom of each set of equivalent atoms:
Tc (0.000, 0.000, 0.500) [3 per cell]
Te (0.000, 0.000, 0.000) [1 per cell]
Se (0.500, 0.500, 0.500) [1 per cell]

## Properties
uncorrected formation energy	1.861	eV/atom
M_tot	0.60	μB/atom
E	-5.684	eV/atom
ΔE to the lowest computed polymorph	785.8	meV/atom

Tc4TeSe: relaxed, PBE-GGA.

a b c (Å): 7.462 7.462 7.462
angles (deg): 90.00 90.00 90.00
Space group F-43m (No. 216)
One atom of each set of equivalent atoms:
Tc (0.125, 0.125, 0.125) [16 per cell]
Te (0.000, 0.000, 0.500) [4 per cell]
Se (0.250, 0.250, 0.750) [4 per cell]

## Properties
uncorrected formation energy	0.759	eV/atom
M_tot	0.00	μB/atom
E	-7.256	eV/atom

Th8TcTe4Se3: relaxed, PBE-GGA.

a b c (Å): 8.5887 8.5887 22.0305
angles (deg): 90.00 90.00 120.00
Space group R-3m (No. 166, hexagonal axes)
One atom of each set of equivalent atoms:
Th (0.0000, 0.0000, 0.2412) [6 per cell]
Th (0.0169, 0.5085, 0.2386) [18 per cell]
Tc (0.0000, 0.0000, 0.5000) [3 per cell]
Te (0.0000, 0.0000, 0.0000) [3 per cell]
Te (0.0000, 0.5000, 0.0000) [9 per cell]
Se (0.0000, 0.5000, 0.5000) [9 per cell]

## Properties
uncorrected formation energy	-1.156	eV/atom
M_tot	0.00	μB/atom
E	-6.953	eV/atom

Th4TcTe2Se: relaxed, PBE-GGA.

a b c (Å): 7.558 4.199 7.850
angles (deg): 90.00 107.79 90.00
Space group P2/m (No. 10)
One atom of each set of equivalent atoms:
Th (0.214, 0.000, 0.206) [2 per cell]
Th (0.248, 0.500, 0.784) [2 per cell]
Tc (0.000, 0.500, 0.000) [1 per cell]
Te (0.000, 0.000, 0.500) [1 per cell]
Te (0.500, 0.500, 0.500) [1 per cell]
Se (0.500, 0.000, 0.000) [1 per cell]

## Properties
uncorrected formation energy	-0.988	eV/atom
M_tot	0.00	μB/atom
E	-7.215	eV/atom

Th8Tc3Te3Se: relaxed, PBE-GGA.

a b c (Å): 8.5371 8.5371 21.9812
angles (deg): 90.00 90.00 120.00
Space group R-3m (No. 166, hexagonal axes)
One atom of each set of equivalent atoms:
Th (0.0000, 0.0000, 0.2350) [6 per cell]
Th (0.0245, 0.5123, 0.7635) [18 per cell]
Tc (0.0000, 0.5000, 0.5000) [9 per cell]
Te (0.0000, 0.5000, 0.0000) [9 per cell]
Se (0.0000, 0.0000, 0.5000) [3 per cell]

## Properties
uncorrected formation energy	-0.611	eV/atom
M_tot	0.00	μB/atom
E	-7.502	eV/atom

Th4TcTeSe2: relaxed, PBE-GGA.

a b c (Å): 7.424 4.168 7.722
angles (deg): 90.00 108.15 90.00
Space group P2/m (No. 10)
One atom of each set of equivalent atoms:
Th (0.225, 0.000, 0.215) [2 per cell]
Th (0.253, 0.500, 0.778) [2 per cell]
Tc (0.000, 0.500, 0.000) [1 per cell]
Te (0.000, 0.000, 0.500) [1 per cell]
Se (0.500, 0.000, 0.000) [1 per cell]
Se (0.500, 0.500, 0.500) [1 per cell]

## Properties
uncorrected formation energy	-1.041	eV/atom
M_tot	0.00	μB/atom
E	-7.311	eV/atom

TiTcTeSe2: relaxed, PBE-GGA.

a b c (Å): 5.391 5.391 5.125
angles (deg): 90.00 90.00 90.00
Space group P4/mmm (No. 123)
One atom of each set of equivalent atoms:
Ti (0.000, 0.000, 0.000) [1 per cell]
Tc (0.500, 0.500, 0.000) [1 per cell]
Te (0.000, 0.000, 0.500) [1 per cell]
Se (0.000, 0.500, 0.500) [2 per cell]

## Properties
uncorrected formation energy	1.305	eV/atom
M_tot	0.44	μB/atom
E	-4.370	eV/atom

TlTc2TeSe: relaxed, PBE-GGA.

a b c (Å): 4.979 4.979 6.014
angles (deg): 90.00 90.00 90.00
Space group P4/mmm (No. 123)
One atom of each set of equivalent atoms:
Tl (0.000, 0.000, 0.000) [1 per cell]
Tc (0.000, 0.500, 0.500) [2 per cell]
Te (0.000, 0.000, 0.500) [1 per cell]
Se (0.500, 0.500, 0.000) [1 per cell]

## Properties
uncorrected formation energy	1.443	eV/atom
M_tot	0.87	μB/atom
E	-4.501	eV/atom

YTcTeSe2: relaxed, PBE-GGA.

a b c (Å): 5.396 5.396 4.916
angles (deg): 90.00 90.00 90.00
Space group P4/mmm (No. 123)
One atom of each set of equivalent atoms:
Y (0.000, 0.000, 0.000) [1 per cell]
Tc (0.500, 0.500, 0.000) [1 per cell]
Te (0.500, 0.500, 0.500) [1 per cell]
Se (0.000, 0.500, 0.500) [2 per cell]

## Properties
uncorrected formation energy	0.541	eV/atom
M_tot	0.37	μB/atom
E	-4.848	eV/atom

ThTcSe: relaxed, PBE-GGA.

a b c (Å): 4.1774 4.1774 11.2185
angles (deg): 90.00 90.00 120.00
Space group P-3m1 (No. 164)
One atom of each set of equivalent atoms:
Th (0.0000, 0.0000, 0.1969) [2 per cell]
Tc (0.3333, 0.6667, 0.9747) [2 per cell]
Se (0.3333, 0.6667, 0.3429) [2 per cell]

## Properties
uncorrected formation energy	-0.776	eV/atom
M_tot	0.00	μB/atom
E	-7.866	eV/atom

Th3TcSe2: relaxed, PBE-GGA.

a b c (Å): 7.257 12.545 7.589
angles (deg): 90.00 108.36 90.00
Space group C2/m (No. 12)
One atom of each set of equivalent atoms:
Th (0.218, 0.000, 0.223) [4 per cell]
Th (0.247, 0.178, 0.776) [8 per cell]
Tc (0.000, 0.168, 0.000) [4 per cell]
Se (0.000, 0.000, 0.500) [2 per cell]
Se (0.000, 0.341, 0.500) [4 per cell]
Se (0.000, 0.500, 0.000) [2 per cell]

## Properties
uncorrected formation energy	-1.089	eV/atom
M_tot	0.00	μB/atom
E	-7.688	eV/atom

Th4TcSe3: relaxed, PBE-GGA.

a b c (Å): 7.440 8.511 7.224
angles (deg): 90.00 109.24 90.00
Space group P2/c (No. 13)
One atom of each set of equivalent atoms:
Th (0.226, 0.115, 0.007) [4 per cell]
Th (0.234, 0.362, 0.485) [4 per cell]
Tc (0.000, 0.126, 0.250) [2 per cell]
Se (0.000, 0.374, 0.750) [2 per cell]
Se (0.500, 0.129, 0.750) [2 per cell]
Se (0.500, 0.382, 0.250) [2 per cell]

## Properties
uncorrected formation energy	-1.199	eV/atom
M_tot	0.00	μB/atom
E	-7.512	eV/atom